(1)
DFT (PBE) results for a geometry-optimized TaSiI2 structure.

The value obtained for the raw formation energy is 893 meV/atom. The value obtained for the spin magnetization is 0.00 μB/cell. Its density of states at the Fermi level is 7.2 states/eV per cell.

It has space group Fm-3m (No. 225), with a = 7.029 Å, b = 7.029 Å, c = 7.029 Å, α = 90.00°, β = 90.00° and γ = 90.00°. The inequivalent atoms are Ta at (0.000, 0.000, 0.000), Si at (0.000, 0.000, 0.500) and I at (0.250, 0.250, 0.250).

(2)
DFT (PBE) results for a geometry-optimized LiReAu structure.

The value obtained for the spin magnetization is 4.54 μB/cell. Its density of states at the Fermi level is 18.4 states/eV per cell. The value obtained for the uncorrected energy is -59.14 eV for the cell shown.

It has space group F-43m (No. 216), with a = 6.005 Å, b = 6.005 Å, c = 6.005 Å, α = 90.00°, β = 90.00° and γ = 90.00°. The inequivalent atoms are Li at (0.000, 0.000, 0.000), Re at (0.000, 0.000, 0.500) and Au at (0.250, 0.250, 0.750).